{
  "formula": "Al2OsSe",
  "functional": "PBE",
  "state": "optimized geometry",
  "space_group": "Amm2 (38)",
  "e_form_raw_ev_per_atom": -0.1289,
  "cell": [[4.236, 0.000, 0.000], [0.000, 1.648, 4.604], [0.000, -1.648, 4.604]],
  "species": ["Al", "Al", "Os", "Se"],
  "fractional_positions": [[0.000, 0.000, 0.000], [0.500, 0.300, 0.300], [0.500, 0.572, 0.572], [0.000, 0.732, 0.732]]
}

=====

{
  "formula": "ScUNbAl",
  "functional": "PBE",
  "state": "optimized geometry",
  "space_group": "F-43m (216)",
  "formation_energy_ev_per_atom": 0.12,
  "cell": [[0.000, 3.410, 3.410], [3.410, 0.000, 3.410], [3.410, 3.410, 0.000]],
  "species": ["Sc", "U", "Nb", "Al"],
  "fractional_positions": [[0.000, 0.000, 0.000], [0.250, 0.250, 0.250], [0.500, 0.500, 0.500], [0.750, 0.750, 0.750]]
}

=====

{
  "formula": "CaEuHg",
  "functional": "PBE",
  "state": "optimized geometry",
  "space_group": "F-43m (216)",
  "formation_energy_ev_per_atom": -0.27,
  "cell": [[0.000, 3.797, 3.797], [3.797, 0.000, 3.797], [3.797, 3.797, 0.000]],
  "species": ["Ca", "Eu", "Hg"],
  "fractional_positions": [[0.000, 0.000, 0.000], [0.500, 0.500, 0.500], [0.250, 0.250, 0.250]]
}

=====

{
  "formula": "K2GeS",
  "functional": "PBE",
  "state": "optimized geometry",
  "space_group": "I-42d (122)",
  "e_form_raw_ev_per_atom": -0.2253,
  "cell": [[-5.833, 5.833, 2.569], [5.833, -5.833, 2.569], [5.833, 5.833, -2.569]],
  "species": ["K", "K", "K", "K", "Ge", "Ge", "S", "S"],
  "fractional_positions": [[0.375, 0.060, 0.185], [0.810, 0.625, 0.685], [0.875, 0.190, 0.815], [0.940, 0.125, 0.315], [0.250, 0.750, 0.500], [0.500, 0.500, 0.000], [0.000, 0.000, 0.000], [0.750, 0.250, 0.500]]
}

=====

{
  "formula": "HoTmSe2",
  "functional": "PBE",
  "state": "optimized geometry",
  "space_group": "R-3m (166)",
  "e_form_raw_ev_per_atom": -1.6901,
  "cell": [[2.021, 1.167, 6.566], [-2.021, 1.167, 6.566], [0.000, -2.334, 6.566]],
  "species": ["Ho", "Tm", "Se", "Se"],
  "fractional_positions": [[0.000, 0.000, 0.000], [0.500, 0.500, 0.500], [0.249, 0.249, 0.249], [0.751, 0.751, 0.751]]
}

=====

{
  "formula": "Pr2Ga4Ni3Ag",
  "functional": "PBE",
  "state": "optimized geometry",
  "space_group": "P-4m2 (115)",
  "formation_energy_ev_per_atom": -0.49,
  "cell": [[4.188, 0.000, 0.000], [0.000, 4.188, 0.000], [0.000, 0.000, 10.410]],
  "species": ["Pr", "Pr", "Ga", "Ga", "Ga", "Ga", "Ni", "Ni", "Ni", "Ag"],
  "fractional_positions": [[0.000, 0.500, 0.236], [0.500, 0.000, 0.764], [0.000, 0.000, 0.000], [0.000, 0.500, 0.643], [0.500, 0.000, 0.357], [0.500, 0.500, 0.000], [0.000, 0.500, 0.875], [0.500, 0.000, 0.125], [0.500, 0.500, 0.500], [0.000, 0.000, 0.500]]
}